# Nb3PtBr (GGA-PBE, relaxed)
data_Nb3PtBr
_chemical_formula_sum 'Nb3 Pt1 Br1'
_cell_length_a 4.685
_cell_length_b 4.685
_cell_length_c 4.685
_cell_angle_alpha 90.00
_cell_angle_beta 90.00
_cell_angle_gamma 90.00
_symmetry_space_group_name_H-M 'P 1'
_symmetry_Int_Tables_number 1
_symmetry_space_group_name_Hall 'P 1'
loop_
_atom_site_label
_atom_site_fract_x
_atom_site_fract_y
_atom_site_fract_z
Nb1 0.000 0.000 0.500
Nb2 0.000 0.500 0.000
Nb3 0.500 0.000 0.000
Pt1 0.500 0.500 0.500
Br1 0.000 0.000 0.000
# ΔE to the lowest computed polymorph: 0.0 meV per atom

***

# Nb3PtBr (GGA-PBE, relaxed)
data_Nb3PtBr
_chemical_formula_sum 'Nb3 Pt1 Br1'
_cell_length_a 4.979
_cell_length_b 4.979
_cell_length_c 4.979
_cell_angle_alpha 90.00
_cell_angle_beta 90.00
_cell_angle_gamma 90.00
_symmetry_space_group_name_H-M 'P 1'
_symmetry_Int_Tables_number 1
_symmetry_space_group_name_Hall 'P 1'
loop_
_atom_site_label
_atom_site_fract_x
_atom_site_fract_y
_atom_site_fract_z
Nb1 0.000 0.000 0.500
Nb2 0.000 0.500 0.000
Nb3 0.500 0.000 0.000
Pt1 0.000 0.000 0.000
Br1 0.500 0.500 0.500
# ΔE to the lowest computed polymorph: 4.7 meV per atom

***

# RbNbPtBr2

A relaxed structure of RbNbPtBr2 (GGA-PBE, Alexandria via LeMat-Bulk).

```
data_RbNbPtBr2
_chemical_formula_sum 'Rb1 Nb1 Pt1 Br2'
_cell_length_a 5.151
_cell_length_b 5.151
_cell_length_c 8.825
_cell_angle_alpha 90.00
_cell_angle_beta 90.00
_cell_angle_gamma 90.00
_symmetry_space_group_name_H-M 'P 1'
_symmetry_Int_Tables_number 1
_symmetry_space_group_name_Hall 'P 1'
loop_
_atom_site_label
_atom_site_fract_x
_atom_site_fract_y
_atom_site_fract_z
Rb1 0.000 0.000 0.000
Nb1 0.000 0.000 0.500
Pt1 0.500 0.500 0.000
Br1 0.000 0.500 0.500
Br2 0.500 0.000 0.500
```

***

# NbPtRh2Br

A relaxed structure of NbPtRh2Br (GGA-PBE, Alexandria via LeMat-Bulk).

```
data_NbPtRh2Br
_chemical_formula_sum 'Nb1 Pt1 Rh2 Br1'
_cell_length_a 4.749
_cell_length_b 4.749
_cell_length_c 4.855
_cell_angle_alpha 90.00
_cell_angle_beta 90.00
_cell_angle_gamma 90.00
_symmetry_space_group_name_H-M 'P 1'
_symmetry_Int_Tables_number 1
_symmetry_space_group_name_Hall 'P 1'
loop_
_atom_site_label
_atom_site_fract_x
_atom_site_fract_y
_atom_site_fract_z
Nb1 0.000 0.000 0.000
Pt1 0.500 0.500 0.500
Rh1 0.000 0.500 0.000
Rh2 0.500 0.000 0.000
Br1 0.000 0.000 0.500
```

***

E, respectively: -6.47 -6.46 -3.59 -5.39 eV/atom.